Record 1
The following is a GGA-PBE calculation of LiZrTeAuSe2 after structural relaxation, from OQMD via LeMat-Bulk.

The structure belongs to space group Cmcm (No. 63); the cell edges are 3.826, 13.681 and 10.674 Å and the angles 90.00°, 90.00° and 90.00°. The distinct sites, in fractional coordinates, are Li at (0.000, 0.190, 0.250), Zr at (0.000, 0.000, 0.000), Te at (0.000, 0.116, 0.750), Au at (0.000, 0.468, 0.750) and Se at (0.000, 0.362, 0.552).

For the volume, the calculation gives 558.7 Å³/cell. The energy is -4.81 eV per atom. As for the crystal system: orthorhombic.

***

Record 2
The following is a GGA-PBE calculation of LiWAuSe3 after structural relaxation, from OQMD via LeMat-Bulk.

The structure belongs to space group Cmcm (No. 63); the cell edges are 3.497, 14.390 and 9.887 Å and the angles 90.00°, 90.00° and 90.00°. The distinct sites, in fractional coordinates, are Li at (0.000, 0.180, 0.250), W at (0.000, 0.500, 0.000), Au at (0.000, 0.175, 0.750), Se at (0.000, 0.136, 0.507) and Se at (0.000, 0.480, 0.750).

For the volume, the calculation gives 497.6 Å³/cell. The energy is -5.00 eV per atom. As for the crystal system: orthorhombic.

***

Record 3
The following is a GGA-PBE calculation of LiWAu3Se4 after structural relaxation, from OQMD via LeMat-Bulk.

The structure belongs to space group P-43m (No. 215); the cell edges are 6.172, 6.172 and 6.172 Å and the angles 90.00°, 90.00° and 90.00°. The distinct sites, in fractional coordinates, are Li at (0.000, 0.000, 0.000), W at (0.500, 0.500, 0.500), Au at (0.000, 0.500, 0.500) and Se at (0.265, 0.265, 0.265).

For the volume, the calculation gives 235.1 Å³/cell. The energy is -4.32 eV per atom. As for the crystal system: cubic.

***

Q: Which value of volume does entry 2 give?
A: 497.6 Å³/cell

***

Q: Look up the volume of the third one.
A: 235.1 Å³/cell

***

Q: The highest volume belongs to which entry?
A: LiZrTeAuSe2

***

Q: Which of these has the lowest volume?
A: LiWAu3Se4